# MgCo2Ru

A geometry-optimized MgCo2Ru structure (PBE, the Alexandria database).

Values from the calculation:
D(E_F), states/eV per atom: 1.40
VASP energy, eV/atom: -6.0910
Volume, Å³ per atom: 13.0

Unit cell a=2.679 b=3.556 c=5.461 alpha=90.00 beta=90.00 gamma=90.00
Space group Pmmm (No. 47)
Inequivalent atoms, fractional coordinates:
Mg 0.000 0.000 0.000
Co 0.500 0.500 0.276
Ru 0.000 0.000 0.500